Computed, not measured: a geometry-optimized BaLi2Rh structure at the PBE level of DFT.

a b c (Å): 5.974 5.974 5.974
angles (deg): 43.81 43.81 43.81
Atoms (fractional coordinates):
Ba 0.750 0.750 0.750
Li 0.945 0.945 0.945
Li 0.555 0.555 0.555
Rh 0.250 0.250 0.250

## Properties
As for the space group: R-3m. Its energy of formation is -30 meV/atom. The calculation puts the offset from the most stable computed form at 45.7 meV/atom. The value obtained for the total DFT energy (no corrections) is -3.306 eV per atom. The density comes out at 4.55 Mg/m³.

---

Computed, not measured: a geometry-optimized BaLi2Rh structure at the PBE level of DFT.

a b c (Å): 4.468 4.468 6.133
angles (deg): 68.36 68.36 59.96
Atoms (fractional coordinates):
Rh 0.445 0.445 0.666
Ba 0.241 0.241 0.275
Li 0.057 0.057 0.829
Li 0.757 0.757 0.729

## Properties
As for the space group: Cm. Its energy of formation is -76 meV/atom. The calculation puts the offset from the most stable computed form at 0.0 meV/atom. The value obtained for the total DFT energy (no corrections) is -3.351 eV per atom. The density comes out at 4.40 Mg/m³.